DFT (PBE-GGA) results for an optimized crystal structure of Fe7Ni.

a b c (Å): 4.908 4.908 4.908
angles (deg): 109.47 109.47 109.47
Element x y z (fractional)
Fe: 0.500 0.500 0.000
Fe: 0.500 0.000 0.500
Fe: 0.500 0.000 0.000
Fe: 0.000 0.000 0.500
Fe: 0.500 0.500 0.500
Fe: 0.000 0.500 0.500
Fe: 0.000 0.500 0.000
Ni: 0.000 0.000 0.000

Output
- formation energy from the elements (eV per formula unit) = 0.07
- raw total energy (eV/atom) = -7.958
- SG = No. 229

=====

DFT (PBE-GGA) results for an optimized crystal structure of Fe3Ni.

a b c (Å): 3.575 3.575 3.575
angles (deg): 90.00 90.00 90.00
Element x y z (fractional)
Ni: 0.000 0.000 0.000
Fe: 0.500 0.000 0.500
Fe: 0.500 0.500 0.000
Fe: 0.000 0.500 0.500

Output
- formation energy from the elements (eV per formula unit) = 0.18
- raw total energy (eV/atom) = -7.580
- SG = No. 221

=====

DFT (PBE-GGA) results for an optimized crystal structure of Fe2Ni.

a b c (Å): 7.074 7.074 7.074
angles (deg): 60.00 60.00 60.00
Element x y z (fractional)
Fe: 0.375 0.375 0.875
Fe: 0.375 0.875 0.375
Fe: 0.875 0.375 0.375
Fe: 0.375 0.375 0.375
Ni: 0.250 0.250 0.250
Ni: 0.500 0.500 0.500

Output
- formation energy from the elements (eV per formula unit) = 6.97
- raw total energy (eV/atom) = -5.071
- SG = No. 227

=====

DFT (PBE-GGA) results for an optimized crystal structure of FeNi3.

a b c (Å): 4.037 5.001 4.332
angles (deg): 90.00 90.00 90.00
Element x y z (fractional)
Fe: 0.500 0.500 0.666
Fe: 0.000 0.000 0.334
Ni: 0.500 0.000 0.670
Ni: 0.000 0.500 0.330
Ni: 0.000 0.751 0.832
Ni: 0.500 0.251 0.168
Ni: 0.500 0.749 0.168
Ni: 0.000 0.249 0.832

Output
- formation energy from the elements (eV per formula unit) = -0.29
- raw total energy (eV/atom) = -6.326
- SG = No. 59

=====

DFT (PBE-GGA) results for an optimized crystal structure of Fe2Ni.

a b c (Å): 5.309 5.309 3.250
angles (deg): 90.00 90.00 90.00
Element x y z (fractional)
Fe: 0.706 0.706 0.000
Fe: 0.794 0.206 0.500
Fe: 0.206 0.794 0.500
Fe: 0.294 0.294 0.000
Ni: 0.500 0.500 0.500
Ni: 0.000 0.000 0.000

Output
- formation energy from the elements (eV per formula unit) = 2.90
- raw total energy (eV/atom) = -6.430
- SG = No. 136

=====

DFT (PBE-GGA) results for an optimized crystal structure of FeNi3.

a b c (Å): 4.320 4.320 4.320
angles (deg): 131.85 131.85 70.46
Element x y z (fractional)
Ni: 0.750 0.250 0.500
Ni: 0.500 0.500 0.000
Ni: 0.250 0.750 0.500
Fe: 0.000 0.000 0.000

Output
- formation energy from the elements (eV per formula unit) = -0.29
- raw total energy (eV/atom) = -6.327
- SG = No. 139

=====

DFT (PBE-GGA) results for an optimized crystal structure of FeNi3.

a b c (Å): 4.991 4.991 4.039
angles (deg): 90.00 90.00 120.00
Element x y z (fractional)
Ni: 0.166 0.331 0.250
Ni: 0.669 0.834 0.250
Ni: 0.331 0.166 0.750
Ni: 0.834 0.669 0.750
Ni: 0.166 0.834 0.250
Ni: 0.834 0.166 0.750
Fe: 0.667 0.333 0.250
Fe: 0.333 0.667 0.750

Output
- formation energy from the elements (eV per formula unit) = -0.31
- raw total energy (eV/atom) = -6.331
- SG = No. 194

=====

DFT (PBE-GGA) results for an optimized crystal structure of Fe2Ni3.

a b c (Å): 5.921 5.921 5.271
angles (deg): 124.18 55.82 120.00
Element x y z (fractional)
Fe: 0.905 0.095 0.284
Fe: 0.595 0.405 0.216
Fe: 0.095 0.905 0.716
Fe: 0.405 0.595 0.784
Ni: 0.250 0.999 0.250
Ni: 0.999 0.499 0.750
Ni: 0.501 0.250 0.750
Ni: 0.750 0.001 0.750
Ni: 0.001 0.501 0.250
Ni: 0.499 0.750 0.250

Output
- formation energy from the elements (eV per formula unit) = 1.94
- raw total energy (eV/atom) = -6.276
- SG = No. 167

=====

DFT (PBE-GGA) results for an optimized crystal structure of NpFeNi.

a b c (Å): 4.055 4.055 4.055
angles (deg): 60.00 60.00 60.00
Element x y z (fractional)
Fe: 0.000 0.000 0.000
Ni: 0.750 0.750 0.750
Np: 0.250 0.250 0.250

Output
- formation energy from the elements (eV per formula unit) = 1.06
- raw total energy (eV/atom) = -8.529
- energy above the lowest structure with this stoichiometry (meV per atom) = 0
- SG = No. 216

=====

DFT (PBE-GGA) results for an optimized crystal structure of NpUFeNi.

a b c (Å): 4.353 4.353 4.353
angles (deg): 60.00 60.00 60.00
Element x y z (fractional)
Np: 0.750 0.750 0.750
Fe: 0.250 0.250 0.250
U: 0.500 0.500 0.500
Ni: 0.000 0.000 0.000

Output
- formation energy from the elements (eV per formula unit) = -0.87
- raw total energy (eV/atom) = -9.704
- SG = No. 216

=====

DFT (PBE-GGA) results for an optimized crystal structure of FeNiSbOs.

a b c (Å): 4.318 4.318 4.318
angles (deg): 60.00 60.00 60.00
Element x y z (fractional)
Ni: 0.500 0.500 0.500
Fe: 0.750 0.750 0.750
Sb: 0.000 0.000 0.000
Os: 0.250 0.250 0.250

Output
- raw total energy (eV/atom) = -7.018
- energy above the lowest structure with this stoichiometry (meV per atom) = 0
- SG = No. 216

=====

DFT (PBE-GGA) results for an optimized crystal structure of FeNiSnOs.

a b c (Å): 4.304 4.304 4.304
angles (deg): 60.00 60.00 60.00
Element x y z (fractional)
Sn: 0.000 0.000 0.000
Ni: 0.250 0.250 0.250
Fe: 0.750 0.750 0.750
Os: 0.500 0.500 0.500

Output
- raw total energy (eV/atom) = -7.011
- energy above the lowest structure with this stoichiometry (meV per atom) = 0
- SG = No. 216

=====

DFT (PBE-GGA) results for an optimized crystal structure of ZnFeNiOs.

a b c (Å): 4.141 4.141 4.141
angles (deg): 60.00 60.00 60.00
Element x y z (fractional)
Ni: 0.500 0.500 0.500
Os: 0.250 0.250 0.250
Zn: 0.000 0.000 0.000
Fe: 0.750 0.750 0.750

Output
- formation energy from the elements (eV per formula unit) = 1.25
- raw total energy (eV/atom) = -6.278
- energy above the lowest structure with this stoichiometry (meV per atom) = 117
- SG = No. 216

=====

DFT (PBE-GGA) results for an optimized crystal structure of ZnFeNiOs.

a b c (Å): 4.144 4.144 4.144
angles (deg): 60.00 60.00 60.00
Element x y z (fractional)
Ni: 0.250 0.250 0.250
Os: 0.500 0.500 0.500
Fe: 0.750 0.750 0.750
Zn: 0.000 0.000 0.000

Output
- formation energy from the elements (eV per formula unit) = 0.79
- raw total energy (eV/atom) = -6.395
- energy above the lowest structure with this stoichiometry (meV per atom) = 0
- SG = No. 216